TmTh5Sc4 | Alexandria | PBE-GGA | optimized geometry; formation energy from the elements = 0.667 kcal/mol of atoms; density of states at the Fermi level = 1.17 states/eV/atom; crystal system = tetragonal
1.0
3.4713 0.0000 0.0000
0.0000 3.4713 0.0000
0.0000 0.0000 24.0766
Tm Th Sc
1 5 4
Direct
0.0000 0.0000 0.0000
0.5000 0.5000 0.1058
0.5000 0.5000 0.3030
0.5000 0.5000 0.5000
0.5000 0.5000 0.6970
0.5000 0.5000 0.8942
0.0000 0.0000 0.2046
0.0000 0.0000 0.4014
0.0000 0.0000 0.5986
0.0000 0.0000 0.7954